VASP calculation (GGA+U) on a relaxed structure of Fe9O10.

Calculated total energy ... -126.47 eV for the cell shown
ρ ... 5.3 g cm⁻³
DOS at the Fermi energy ... 0.00 states/eV/f.u.

Lattice parameters (Å, degrees): 5.368 6.154 6.896 103.27 97.48 107.40
Sites, in units of the cell vectors:
Fe 0.000 0.000 0.000
Fe 0.192 0.889 0.388
Fe 0.201 0.404 0.386
Fe 0.381 0.794 0.800
Fe 0.409 0.305 0.804
Fe 0.591 0.695 0.196
Fe 0.619 0.206 0.200
Fe 0.799 0.596 0.614
Fe 0.808 0.111 0.612
O 0.111 0.946 0.705
O 0.122 0.447 0.682
O 0.324 0.330 0.112
O 0.330 0.868 0.097
O 0.500 0.234 0.484
O 0.500 0.766 0.516
O 0.670 0.132 0.903
O 0.676 0.670 0.888
O 0.878 0.553 0.318
O 0.889 0.054 0.295